No. 1
# NaNi4SnP2

A relaxed structure of NaNi4SnP2 (GGA-PBE, Alexandria).

Output
- Calculated volume: 16.18 A^3/atom
- VASP energy: -0.3842 Ry per atom
- Symmetry: P4/mmm, No. 123
- M_tot: 0.000 μB/atom
- ΔH_f (0 K): -0.318 eV per atom

Unit cell a=3.644 b=3.644 c=9.749 alpha=90.00 beta=90.00 gamma=90.00
Positions (direct):
Na1 0.000 0.000 0.500
Ni1 0.000 0.500 0.200
Ni2 0.500 0.000 0.800
Ni3 0.500 0.000 0.200
Ni4 0.000 0.500 0.800
Sn1 0.000 0.000 0.000
P1 0.500 0.500 0.324
P2 0.500 0.500 0.676

=====

No. 2
# NaSr2NiP

A relaxed structure of NaSr2NiP (GGA-PBE, Alexandria).

Output
- Calculated volume: 30.56 A^3/atom
- VASP energy: -0.2593 Ry per atom
- Symmetry: P4/mmm, No. 123
- M_tot: 0.000 μB/atom
- ΔH_f (0 K): -0.353 eV per atom

Unit cell a=5.993 b=5.993 c=4.254 alpha=90.00 beta=90.00 gamma=90.00
Positions (direct):
Sr1 0.000 0.500 0.000
Sr2 0.500 0.000 0.000
Na1 0.500 0.500 0.500
P1 0.000 0.000 0.000
Ni1 0.000 0.000 0.500